(1)
Compound: RbCaAsSe2
Source: Alexandria
Functional: PBE
Structure: optimized geometry

It has space group P4/mmm (No. 123), with a = 5.6099 Å, b = 5.6099 Å, c = 5.6031 Å, α = 90.00°, β = 90.00° and γ = 90.00°. The asymmetric unit holds Rb at (0.0000, 0.0000, 0.0000), Ca at (0.5000, 0.5000, 0.5000), As at (0.5000, 0.5000, 0.0000) and Se at (0.0000, 0.5000, 0.5000).

The calculation puts the formation energy without anion corrections at -1.828 eV/f.u. Its density of states at the Fermi level is 6.7 states/eV/cell. The energy above the most stable polymorph in this dataset is 0.000 eV/atom.

=====

(2)
Compound: AsRhSCl2
Source: Alexandria
Functional: PBE
Structure: optimized geometry

It has space group P4/mmm (No. 123), with a = 4.6992 Å, b = 4.6992 Å, c = 4.6941 Å, α = 90.00°, β = 90.00° and γ = 90.00°. The asymmetric unit holds As at (0.0000, 0.0000, 0.0000), Rh at (0.5000, 0.5000, 0.5000), S at (0.5000, 0.5000, 0.0000) and Cl at (0.0000, 0.5000, 0.5000).

The calculation puts the formation energy without anion corrections at 1.560 eV/f.u. Its density of states at the Fermi level is 3.5 states/eV/cell. The energy above the most stable polymorph in this dataset is 0.000 eV/atom.

=====

(3)
Compound: Tb2Sm3In
Source: Alexandria
Functional: PBE
Structure: optimized geometry

It has space group P2_1/m (No. 11), with a = 8.6661 Å, b = 3.7335 Å, c = 11.6544 Å, α = 90.00°, β = 90.45° and γ = 90.00°. The asymmetric unit holds Tb at (0.0889, 0.2500, 0.3949), Tb at (0.3531, 0.7500, 0.9270), Sm at (0.0933, 0.2500, 0.1034), Sm at (0.3493, 0.7500, 0.5727), Sm at (0.3898, 0.7500, 0.2501) and In at (0.1585, 0.2500, 0.7523).

Its density of states at the Fermi level is 16.6 states/eV/cell. The calculation puts the formation energy at -0.8 eV per formula unit. The energy above the most stable polymorph in this dataset is 0.030 eV/atom.

=====

(4)
Compound: K2SiRu
Source: Alexandria
Functional: PBE
Structure: optimized geometry

It has space group Pm (No. 6), with a = 3.0544 Å, b = 3.7756 Å, c = 10.0711 Å, α = 90.00°, β = 91.55° and γ = 90.00°. The asymmetric unit holds K at (0.0000, 0.0000, 0.0000), K at (0.4385, 0.5000, 0.4111), Si at (0.4707, 0.0000, 0.7017) and Ru at (0.9709, 0.5000, 0.7118).

The calculation puts the formation energy without anion corrections at 0.549 eV/f.u. Its density of states at the Fermi level is 2.3 states/eV/cell.

=====

(5)
Compound: In2H2Au
Source: Alexandria
Functional: PBE
Structure: optimized geometry

It has space group I4/mmm (No. 139), with a = 3.4355 Å, b = 3.4355 Å, c = 12.9826 Å, α = 90.00°, β = 90.00° and γ = 90.00°. The asymmetric unit holds In at (0.0000, 0.0000, 0.1401), H at (0.0000, 0.5000, 0.2500) and Au at (0.0000, 0.0000, 0.5000).

Its density of states at the Fermi level is 1.8 states/eV/cell. The energy above the most stable polymorph in this dataset is 0.109 eV/atom.

=====

(6)
Compound: KRh2Se
Source: Alexandria
Functional: PBE
Structure: optimized geometry

It has space group Imm2 (No. 44), with a = 2.9914 Å, b = 5.1984 Å, c = 10.0016 Å, α = 90.00°, β = 90.00° and γ = 90.00°. The asymmetric unit holds K at (0.0000, 0.0000, 0.0000), Rh at (0.0000, 0.0000, 0.5279), Rh at (0.0000, 0.5000, 0.7971) and Se at (0.0000, 0.5000, 0.2173).

The calculation puts the formation energy without anion corrections at 1.098 eV/f.u. Its density of states at the Fermi level is 8.6 states/eV/cell.

=====

(7)
Compound: Rb4CdHg2
Source: Alexandria
Functional: PBE
Structure: optimized geometry

It has space group Cm (No. 8), with a = 14.6203 Å, b = 10.4778 Å, c = 10.3490 Å, α = 90.00°, β = 110.96° and γ = 90.00°. The asymmetric unit holds Rb at (0.0000, 0.0000, 0.0000), Rb at (0.0030, 0.5000, 0.5000), Rb at (0.0066, 0.0000, 0.4988), Rb at (0.2109, 0.2473, 0.8518), Rb at (0.2221, 0.2477, 0.3560), Rb at (0.4961, 0.0000, 0.9950), Cd at (0.2913, 0.5000, 0.1418), Cd at (0.2993, 0.5000, 0.6439), Hg at (0.2926, 0.0000, 0.1423), Hg at (0.2950, 0.0000, 0.6421) and Hg at (0.4185, 0.2527, 0.7090).

Its density of states at the Fermi level is 18.1 states/eV/cell. The calculation puts the formation energy at -0.9 eV per formula unit. The energy above the most stable polymorph in this dataset is 0.000 eV/atom.

=====

(8)
Compound: K6TiSb4
Source: Alexandria
Functional: PBE
Structure: optimized geometry

It has space group P6_3mc (No. 186), with a = 11.1199 Å, b = 11.1199 Å, c = 8.6539 Å, α = 90.00°, β = 90.00° and γ = 120.00°. The asymmetric unit holds K at (0.0573, 0.5287, 0.0000), K at (0.1421, 0.2842, 0.3127), Ti at (0.3333, 0.6667, 0.6181), Sb at (0.1991, 0.3982, 0.7047) and Sb at (0.3333, 0.6667, 0.3095).

The calculation puts the formation energy without anion corrections at -4.407 eV/f.u. Its density of states at the Fermi level is 13.6 states/eV/cell.

=====

(9)
Compound: HoInPd4
Source: Alexandria
Functional: PBE
Structure: optimized geometry

It has space group C2/m (No. 12), with a = 9.5479 Å, b = 3.8565 Å, c = 6.2454 Å, α = 90.00°, β = 111.39° and γ = 90.00°. The asymmetric unit holds Ho at (0.0000, 0.0000, 0.0000), In at (0.0000, 0.0000, 0.5000), Pd at (0.1639, 0.5000, 0.3363) and Pd at (0.1671, 0.5000, 0.8241).

Its density of states at the Fermi level is 4.5 states/eV/cell. The calculation puts the formation energy at -4.0 eV per formula unit.

=====

(10)
Compound: ScTe2IN
Source: Alexandria
Functional: PBE
Structure: optimized geometry

It has space group P4/mmm (No. 123), with a = 4.9467 Å, b = 4.9467 Å, c = 4.7331 Å, α = 90.00°, β = 90.00° and γ = 90.00°. The asymmetric unit holds Sc at (0.0000, 0.0000, 0.0000), Te at (0.0000, 0.5000, 0.5000), I at (0.5000, 0.5000, 0.0000) and N at (0.5000, 0.5000, 0.5000).

The calculation puts the formation energy without anion corrections at 1.850 eV/f.u. Its density of states at the Fermi level is 1.8 states/eV/cell. The energy above the most stable polymorph in this dataset is 0.160 eV/atom.

=====

(11)
Compound: TmInB2Rh5
Source: Alexandria
Functional: PBE
Structure: optimized geometry

It has space group P4/mmm (No. 123), with a = 4.1701 Å, b = 4.1701 Å, c = 7.7608 Å, α = 90.00°, β = 90.00° and γ = 90.00°. The asymmetric unit holds Tm at (0.0000, 0.0000, 0.0000), In at (0.0000, 0.0000, 0.5000), B at (0.5000, 0.5000, 0.2793), Rh at (0.0000, 0.5000, 0.2664) and Rh at (0.5000, 0.5000, 0.0000).

Its density of states at the Fermi level is 7.8 states/eV/cell. The calculation puts the formation energy at -4.7 eV per formula unit.

=====

(12)
Compound: Y3ThF
Source: Alexandria
Functional: PBE
Structure: optimized geometry

It has space group Pm-3m (No. 221), with a = 5.0827 Å, b = 5.0827 Å, c = 5.0827 Å, α = 90.00°, β = 90.00° and γ = 90.00°. The asymmetric unit holds Y at (0.0000, 0.0000, 0.5000), Th at (0.5000, 0.5000, 0.5000) and F at (0.0000, 0.0000, 0.0000).

The calculation puts the formation energy without anion corrections at -4.407 eV/f.u. Its density of states at the Fermi level is 4.3 states/eV/cell.

=====

(13)
Compound: Mg5Be
Source: Alexandria
Functional: PBE
Structure: optimized geometry

It has space group P4/mmm (No. 123), with a = 3.0895 Å, b = 3.0895 Å, c = 12.5988 Å, α = 90.00°, β = 90.00° and γ = 90.00°. The asymmetric unit holds Mg at (0.0000, 0.0000, 0.0000), Mg at (0.0000, 0.0000, 0.3736), Mg at (0.5000, 0.5000, 0.1867) and Be at (0.5000, 0.5000, 0.5000).

Its density of states at the Fermi level is 1.4 states/eV/cell. The calculation puts the formation energy at 0.8 eV per formula unit. The energy above the most stable polymorph in this dataset is 0.000 eV/atom.

=====

(14)
Compound: CsGe3Ir
Source: Alexandria
Functional: PBE
Structure: optimized geometry

It has space group Pm-3m (No. 221), with a = 5.0376 Å, b = 5.0376 Å, c = 5.0376 Å, α = 90.00°, β = 90.00° and γ = 90.00°. The asymmetric unit holds Cs at (0.0000, 0.0000, 0.0000), Ge at (0.0000, 0.5000, 0.5000) and Ir at (0.5000, 0.5000, 0.5000).

Its density of states at the Fermi level is 5.7 states/eV/cell. The calculation puts the formation energy at 2.0 eV per formula unit. The energy above the most stable polymorph in this dataset is 0.518 eV/atom.

=====

(15)
Compound: Li8ZnPd2
Source: Alexandria
Functional: PBE
Structure: optimized geometry

It has space group C2/m (No. 12), with a = 13.8597 Å, b = 4.1010 Å, c = 6.3646 Å, α = 90.00°, β = 109.44° and γ = 90.00°. The asymmetric unit holds Li at (0.0478, 0.0000, 0.2361), Li at (0.1079, 0.5000, 0.9631), Li at (0.1469, 0.0000, 0.7086), Li at (0.1845, 0.5000, 0.4125), Zn at (0.0000, 0.5000, 0.5000) and Pd at (0.2248, 0.0000, 0.1485).

Its density of states at the Fermi level is 7.4 states/eV/cell. The calculation puts the formation energy at -2.5 eV per formula unit. The energy above the most stable polymorph in this dataset is 0.000 eV/atom.

=====

(16)
Compound: HgP2Pd2O8
Source: Alexandria
Functional: PBE
Structure: optimized geometry

It has space group Fddd (No. 70, origin choice 2), with a = 7.1004 Å, b = 11.7789 Å, c = 15.9598 Å, α = 90.00°, β = 90.00° and γ = 90.00°. The asymmetric unit holds Hg at (0.1250, 0.1250, 0.1250), P at (0.1250, 0.1250, 0.3305), Pd at (0.0000, 0.0000, 0.5000), O at (0.0505, 0.3722, 0.5222) and O at (0.1167, 0.0161, 0.8633).

The calculation puts the formation energy without anion corrections at -17.226 eV/f.u. Its density of states at the Fermi level is 3.7 states/eV/cell.

=====

(17)
Compound: Pm4Ho15Al
Source: Alexandria
Functional: PBE
Structure: optimized geometry

It has space group Pmmm (No. 47), with a = 3.6726 Å, b = 5.5957 Å, c = 30.5075 Å, α = 90.00°, β = 90.00° and γ = 90.00°. The asymmetric unit holds Pm at (0.0000, 0.0000, 0.1107), Pm at (0.0000, 0.0000, 0.3195), Ho at (0.0000, 0.5000, 0.0000), Ho at (0.0000, 0.5000, 0.1866), Ho at (0.0000, 0.5000, 0.3930), Ho at (0.5000, 0.0000, 0.0000), Ho at (0.5000, 0.0000, 0.2173), Ho at (0.5000, 0.0000, 0.4209), Ho at (0.5000, 0.5000, 0.0894), Ho at (0.5000, 0.5000, 0.2884), Ho at (0.5000, 0.5000, 0.5000) and Al at (0.0000, 0.0000, 0.5000).

Its density of states at the Fermi level is 29.7 states/eV/cell. The calculation puts the formation energy at 0.3 eV per formula unit.

=====

(18)
Compound: BaAlAu
Source: Alexandria
Functional: PBE
Structure: optimized geometry

It has space group I4mm (No. 107), with a = 3.6581 Å, b = 3.6581 Å, c = 12.0662 Å, α = 90.00°, β = 90.00° and γ = 90.00°. The asymmetric unit holds Ba at (0.0000, 0.0000, 0.0000), Al at (0.0000, 0.0000, 0.2849) and Au at (0.0000, 0.0000, 0.7129).

Its density of states at the Fermi level is 3.1 states/eV/cell. The calculation puts the formation energy at -1.1 eV per formula unit.

=====

(19)
Compound: Cs3Pb2I5Cl2
Source: Alexandria
Functional: PBE
Structure: optimized geometry

It has space group I4/mmm (No. 139), with a = 6.4132 Å, b = 6.4132 Å, c = 29.9753 Å, α = 90.00°, β = 90.00° and γ = 90.00°. The asymmetric unit holds Cs at (0.0000, 0.0000, 0.0000), Cs at (0.0000, 0.0000, 0.1854), Pb at (0.0000, 0.0000, 0.3898), I at (0.0000, 0.0000, 0.5000), I at (0.0000, 0.5000, 0.1039) and Cl at (0.0000, 0.0000, 0.2973).

The calculation puts the formation energy without anion corrections at -14.635 eV/f.u. Its density of states at the Fermi level is 0.0 states/eV/cell.

=====

(20)
Compound: ErUSe2
Source: Alexandria
Functional: PBE
Structure: optimized geometry

It has space group R3m (No. 160, hexagonal axes), with a = 3.8690 Å, b = 3.8690 Å, c = 22.0271 Å, α = 90.00°, β = 90.00° and γ = 120.00°. The asymmetric unit holds Er at (0.0000, 0.0000, 0.0000), U at (0.0000, 0.0000, 0.1738), Se at (0.0000, 0.0000, 0.4164) and Se at (0.0000, 0.0000, 0.5908).

The calculation puts the formation energy without anion corrections at -5.227 eV/f.u. Its density of states at the Fermi level is 9.5 states/eV/cell. The energy above the most stable polymorph in this dataset is 0.000 eV/atom.